Material: Y2CdAs
Method: DFT, SCAN
State: single point on PBEsol structure

Calculated values
ΔE_f ... -3.91 eV/f.u.
E ... -27.550 eV per atom
Relative energy among the computed polymorphs ... 0.000 eV per atom
SG ... No. 166

a = 3.9556 Å, b = 3.9556 Å, c = 7.9788 Å
α = 75.65°, β = 75.65°, γ = 60.00°
Sites, in units of the cell vectors:
Y 0.2379 0.2379 0.2862
Y 0.7621 0.7621 0.7138
As 0.5000 0.5000 0.5000
Cd 0.0000 0.0000 0.0000

Material: Sr4CoSb
Method: DFT, SCAN
State: single point on PBEsol structure

Calculated values
E ... -23.274 eV per atom
Uncorrected formation energy ... 65 kJ per mole of atoms
SG ... No. 216

a = 6.6195 Å, b = 6.6195 Å, c = 6.6195 Å
α = 60.00°, β = 60.00°, γ = 60.00°
Site moments in Bohr magnetons follow the coordinates.
Sites, in units of the cell vectors:
Co 0.7500 0.7500 0.7500  2.24
Sb 0.0000 0.0000 0.0000  0.02
Sr 0.3747 0.3747 0.3747  -0.15
Sr 0.3747 0.3747 0.8758  -0.15
Sr 0.8758 0.3747 0.3747  -0.15
Sr 0.3747 0.8758 0.3747  -0.15

Material: CdNiTe2I
Method: DFT, SCAN
State: single point on PBEsol structure

Calculated values
E ... -31.284 eV per atom
Uncorrected formation energy ... 27 kJ per mole of atoms
SG ... No. 123

a = 5.0376 Å, b = 5.0376 Å, c = 5.1905 Å
α = 90.00°, β = 90.00°, γ = 90.00°
Sites, in units of the cell vectors:
I 0.0000 0.0000 0.5000
Ni 0.0000 0.0000 0.0000
Te 0.0000 0.5000 0.0000
Te 0.5000 0.0000 0.0000
Cd 0.5000 0.5000 0.5000

Material: MnPSe2
Method: DFT, SCAN
State: single point on PBEsol structure

Calculated values
E ... -16.704 eV per atom
Uncorrected formation energy ... 48 kJ per mole of atoms
SG ... No. 216

a = 4.5020 Å, b = 4.5020 Å, c = 4.5020 Å
α = 60.00°, β = 60.00°, γ = 60.00°
Site moments in Bohr magnetons follow the coordinates.
Sites, in units of the cell vectors:
Mn 0.5000 0.5000 0.5000  3.85
P 0.2500 0.2500 0.2500  -0.19
Se 0.0000 0.0000 0.0000  -0.06
Se 0.7500 0.7500 0.7500  -0.15

Material: K2Li
Method: DFT, SCAN
State: single point on PBEsol structure

Calculated values
ΔE_f ... 0.34 eV/f.u.
E ... -6.235 eV per atom
SG ... No. 189

a = 4.3908 Å, b = 11.1338 Å, c = 11.1338 Å
α = 120.00°, β = 90.00°, γ = 90.00°
Sites, in units of the cell vectors:
K 0.0000 0.7243 0.7243
K 0.0000 0.0000 0.2757
K 0.0000 0.2757 0.0000
K 0.5000 0.3868 0.3868
K 0.5000 0.0000 0.6132
K 0.5000 0.6132 0.0000
Li 0.0000 0.6667 0.3333
Li 0.0000 0.3333 0.6667
Li 0.5000 0.0000 0.0000

Material: MgAsIr2
Method: DFT, SCAN
State: single point on PBEsol structure

Calculated values
ΔE_f ... 0.05 eV/f.u.
E ... -41.829 eV per atom
Relative energy among the computed polymorphs ... 0.296 eV per atom
SG ... No. 47

a = 2.9690 Å, b = 4.3167 Å, c = 4.6974 Å
α = 90.00°, β = 90.00°, γ = 90.00°
Sites, in units of the cell vectors:
As 0.0000 0.5000 0.5000
Ir 0.0000 0.0000 0.0000
Ir 0.5000 0.0000 0.5000
Mg 0.5000 0.5000 0.0000